(1)
## Pm2DySi3Rh4 (GGA-PBE)

Data for a geometry-optimized Pm2DySi3Rh4 structure.

abc: 4.146 4.146 10.877
angles: 90.00 90.00 90.00
Space group P-4m2 (No. 115)
Unique sites:
Pm  0.000  0.500  0.231
Dy  0.000  0.000  0.500
Si  0.000  0.500  0.883
Si  0.500  0.500  0.500
Rh  0.000  0.000  0.000
Rh  0.000  0.500  0.662
Rh  0.500  0.500  0.000

Output
**VASP energy**: -0.511 Ry/atom
**Formation energy without anion corrections**: -0.98 eV/atom

=====

(2)
## RbCaNb2 (GGA-PBE)

Data for a geometry-optimized RbCaNb2 structure.

abc: 7.812 7.812 7.812
angles: 90.00 90.00 90.00
Space group Fm-3m (No. 225)
Unique sites:
Rb  0.000  0.000  0.000
Ca  0.000  0.000  0.500
Nb  0.250  0.250  0.250

Output
**VASP energy**: -0.286 Ry/atom
**Offset from the most stable computed form**: 116 meV per atom
**ΔH_f (0 K)**: 1.88 eV per atom